Density functional theory data (PBE-GGA) for crystalline PuNpRe at its relaxed geometry.

Structure (POSCAR):
```
PuNpRe
1.0
-1.6234 1.6234 4.8652
1.6234 -1.6234 4.8652
1.6234 1.6234 -4.8652
Pu Np Re
1 1 1
Direct
0.0000 0.0000 0.0000
0.6216 0.6216 0.0000
0.3115 0.3115 0.0000
```

Summary:
The calculation puts the formation enthalpy at 0 K at 0.20 eV/atom. The total magnetization comes out at 0.98 μB/cell. The value obtained for the volume is 51 Å³/cell. Its space-group type is No. 107.

=====

Density functional theory data (PBE-GGA) for crystalline La7Ag2Pd2 at its relaxed geometry.

Structure (POSCAR):
```
La7Ag2Pd2
1.0
-2.0078 8.2128 5.1314
2.0078 -8.2128 5.1314
2.0078 8.2128 -5.1314
La Ag Pd
7 2 2
Direct
0.0000 0.0000 0.0000
0.0813 0.3916 0.6897
0.1165 0.7492 0.3673
0.3819 0.7492 0.6327
0.4791 0.6021 0.8770
0.7019 0.3916 0.3103
0.7251 0.6021 0.1230
0.3551 0.3551 0.0000
0.7543 0.2543 0.5000
0.3268 0.0911 0.2357
0.8554 0.0911 0.7643
```

Summary:
The calculation puts the formation enthalpy at 0 K at -0.37 eV/atom. The total magnetization comes out at 0.00 μB/cell. The value obtained for the volume is 338 Å³/cell. Its space-group type is No. 44.

=====

Density functional theory data (PBE-GGA) for crystalline LiNbCd at its relaxed geometry.

Structure (POSCAR):
```
LiNbCd
1.0
4.9508 -2.3700 0.0000
4.9508 2.3700 0.0000
-2.9499 0.0000 4.5375
Li Nb Cd
2 2 2
Direct
0.1626 0.1626 0.1625
0.8374 0.8374 0.8375
0.5004 0.5004 0.2340
0.4996 0.4996 0.7660
0.1728 0.1728 0.6727
0.8272 0.8272 0.3273
```

Summary:
The calculation puts the formation enthalpy at 0 K at 0.26 eV/atom. The total magnetization comes out at 0.00 μB/cell. The value obtained for the volume is 106 Å³/cell. Its space-group type is No. 12.

=====

Density functional theory data (PBE-GGA) for crystalline Tl3Cu2TcO6 at its relaxed geometry.

Structure (POSCAR):
```
Tl3Cu2TcO6
1.0
5.9308 0.0000 0.0000
-2.9654 5.1362 0.0000
0.0000 0.0000 6.9074
Tl Cu Tc O
3 2 1 6
Direct
0.0000 0.0000 0.0000
0.3333 0.6667 0.7391
0.6667 0.3333 0.2609
0.3333 0.6667 0.3386
0.6667 0.3333 0.6614
0.0000 0.0000 0.5000
0.1508 0.3016 0.3326
0.1508 0.8492 0.3326
0.3016 0.1508 0.6674
0.6984 0.8492 0.3326
0.8492 0.1508 0.6674
0.8492 0.6984 0.6674
```

Summary:
The total magnetization comes out at 0.00 μB/cell. The value obtained for the volume is 210 Å³/cell. Its space-group type is No. 164. Its electronic total energy is -5.429 eV/atom.

=====

Density functional theory data (PBE-GGA) for crystalline LaCoRh3 at its relaxed geometry.

Structure (POSCAR):
```
LaCoRh3
1.0
4.5765 0.0000 0.0000
0.0000 4.5765 0.0000
0.0000 0.0000 4.5765
La Co Rh
1 1 3
Direct
0.0000 0.0000 0.0000
0.5000 0.5000 0.5000
0.0000 0.5000 0.5000
0.5000 0.0000 0.5000
0.5000 0.5000 0.0000
```

Summary:
The calculation puts the formation enthalpy at 0 K at 0.06 eV/atom. The total magnetization comes out at 3.27 μB/cell. The value obtained for the volume is 96 Å³/cell. Its space-group type is No. 221.

=====

Density functional theory data (PBE-GGA) for crystalline ErHfInTc at its relaxed geometry.

Structure (POSCAR):
```
ErHfInTc
1.0
0.0000 3.4656 3.4656
3.4656 0.0000 3.4656
3.4656 3.4656 0.0000
Er Hf In Tc
1 1 1 1
Direct
0.0000 0.0000 0.0000
0.5000 0.5000 0.5000
0.2500 0.2500 0.2500
0.7500 0.7500 0.7500
```

Summary:
The calculation puts the formation enthalpy at 0 K at -0.17 eV/atom. The total magnetization comes out at 0.00 μB/cell. The value obtained for the volume is 83 Å³/cell. Its space-group type is No. 216.

=====

- Among the records above, which one has the highest volume?
  La7Ag2Pd2